# PrEr5Ag6

PrEr5Ag6 after structural relaxation (PBE, Alexandria).

Cell lengths 5.158, 7.215, 8.167 Å; angles 90.00, 108.28, 90.00 degrees
Space group P2/m (No. 10)
One atom of each set of equivalent atoms:
Pr1 0.000 0.000 0.000 (multiplicity 1)
Er1 0.000 0.500 0.000 (multiplicity 1)
Er2 0.332 0.000 0.664 (multiplicity 2)
Er3 0.335 0.500 0.669 (multiplicity 2)
Ag1 0.172 0.256 0.343 (multiplicity 4)
Ag2 0.500 0.264 0.000 (multiplicity 2)

Results
- Uncorrected energy: -4.040 eV/atom
- Energy of formation from the pure elements: -0.315 eV/atom
- Fermi-level density of states: 6.03 states/eV per cell

---

# Pr12Er5Ag3

Pr12Er5Ag3 after structural relaxation (PBE, Alexandria).

Cell lengths 18.439, 18.439, 18.439 Å; angles 90.00, 90.00, 90.00 degrees
Space group Ia-3d (No. 230)
One atom of each set of equivalent atoms:
Pr1 0.010 0.086 0.650 (multiplicity 96)
Er1 0.000 0.000 0.000 (multiplicity 16)
Er2 0.000 0.250 0.375 (multiplicity 24)
Ag1 0.000 0.250 0.125 (multiplicity 24)

Results
- Uncorrected energy: -3.658 eV/atom
- Energy of formation from the pure elements: 0.779 eV/atom
- Fermi-level density of states: 270.28 states/eV per cell

---

# PrEr3Ag4

PrEr3Ag4 after structural relaxation (PBE, Alexandria).

Cell lengths 5.152, 5.152, 7.342 Å; angles 90.00, 90.00, 90.00 degrees
Space group P4/mmm (No. 123)
One atom of each set of equivalent atoms:
Pr1 0.000 0.000 0.000 (multiplicity 1)
Er1 0.000 0.000 0.500 (multiplicity 1)
Er2 0.500 0.500 0.000 (multiplicity 1)
Er3 0.500 0.500 0.500 (multiplicity 1)
Ag1 0.000 0.500 0.264 (multiplicity 4)

Results
- Uncorrected energy: -4.036 eV/atom
- Energy of formation from the pure elements: -0.302 eV/atom
- Fermi-level density of states: 5.15 states/eV per cell

---

# PrErAg6

PrErAg6 after structural relaxation (PBE, Alexandria).

Cell lengths 9.279, 4.605, 9.177 Å; angles 90.00, 118.99, 90.00 degrees
Space group C2/m (No. 12)
One atom of each set of equivalent atoms:
Pr1 0.000 0.000 0.000 (multiplicity 2)
Er1 0.000 0.000 0.500 (multiplicity 2)
Ag1 0.006 0.500 0.746 (multiplicity 4)
Ag2 0.246 0.500 0.615 (multiplicity 4)
Ag3 0.247 0.000 0.860 (multiplicity 4)

Results
- Uncorrected energy: -3.494 eV/atom
- Energy of formation from the pure elements: -0.187 eV/atom
- Fermi-level density of states: 8.50 states/eV per cell

---

# Pr4ErAg5

Pr4ErAg5 after structural relaxation (PBE, Alexandria).

Cell lengths 3.704, 3.704, 19.176 Å; angles 90.00, 90.00, 90.00 degrees
Space group P4/mmm (No. 123)
One atom of each set of equivalent atoms:
Pr1 0.000 0.000 0.102 (multiplicity 2)
Pr2 0.000 0.000 0.306 (multiplicity 2)
Er1 0.000 0.000 0.500 (multiplicity 1)
Ag1 0.500 0.500 0.000 (multiplicity 1)
Ag2 0.500 0.500 0.204 (multiplicity 2)
Ag3 0.500 0.500 0.412 (multiplicity 2)

Results
- Uncorrected energy: -4.056 eV/atom
- Energy of formation from the pure elements: -0.262 eV/atom
- Fermi-level density of states: 7.88 states/eV per cell

---

# PrErAgPt

PrErAgPt after structural relaxation (PBE, Alexandria).

Cell lengths 7.228, 7.228, 7.228 Å; angles 90.00, 90.00, 90.00 degrees
Space group F-43m (No. 216)
One atom of each set of equivalent atoms:
Pr1 0.000 0.000 0.000 (multiplicity 4)
Er1 0.000 0.000 0.500 (multiplicity 4)
Ag1 0.250 0.250 0.250 (multiplicity 4)
Pt1 0.250 0.250 0.750 (multiplicity 4)

Results
- Uncorrected energy: -5.267 eV/atom
- Energy of formation from the pure elements: -0.709 eV/atom
- Fermi-level density of states: 7.50 states/eV per cell

---

# PrErAgRh

PrErAgRh after structural relaxation (PBE, Alexandria).

Cell lengths 7.172, 7.172, 7.172 Å; angles 90.00, 90.00, 90.00 degrees
Space group F-43m (No. 216)
One atom of each set of equivalent atoms:
Pr1 0.000 0.000 0.000 (multiplicity 4)
Er1 0.000 0.000 0.500 (multiplicity 4)
Ag1 0.250 0.250 0.250 (multiplicity 4)
Rh1 0.250 0.250 0.750 (multiplicity 4)

Results
- Uncorrected energy: -5.375 eV/atom
- Energy of formation from the pure elements: -0.489 eV/atom
- Fermi-level density of states: 13.17 states/eV per cell

---

# Pr2ErAgS5

Pr2ErAgS5 after structural relaxation (PBE, Alexandria).

Cell lengths 4.006, 16.744, 12.092 Å; angles 90.00, 90.00, 90.00 degrees
Space group Cmc2_1 (No. 36)
One atom of each set of equivalent atoms:
Pr1 0.000 0.110 0.000 (multiplicity 4)
Pr2 0.000 0.126 0.619 (multiplicity 4)
Er1 0.000 0.196 0.322 (multiplicity 4)
Ag1 0.000 0.457 0.779 (multiplicity 4)
S1 0.000 0.049 0.395 (multiplicity 4)
S2 0.000 0.287 0.977 (multiplicity 4)
S3 0.000 0.306 0.664 (multiplicity 4)
S4 0.000 0.358 0.315 (multiplicity 4)
S5 0.000 0.498 0.087 (multiplicity 4)

Results
- Uncorrected energy: -5.872 eV/atom
- Formation energy without anion corrections: -163 kJ per mole of atoms
- Fermi-level density of states: 0.39 states/eV per cell

---

# Pr2ErAgSe5

Pr2ErAgSe5 after structural relaxation (PBE, Alexandria).

Cell lengths 4.164, 17.604, 12.539 Å; angles 90.00, 90.00, 90.00 degrees
Space group Cmc2_1 (No. 36)
One atom of each set of equivalent atoms:
Pr1 0.000 0.110 0.000 (multiplicity 4)
Pr2 0.000 0.125 0.620 (multiplicity 4)
Er1 0.000 0.196 0.323 (multiplicity 4)
Ag1 0.000 0.442 0.773 (multiplicity 4)
Se1 0.000 0.047 0.392 (multiplicity 4)
Se2 0.000 0.286 0.979 (multiplicity 4)
Se3 0.000 0.305 0.661 (multiplicity 4)
Se4 0.000 0.358 0.314 (multiplicity 4)
Se5 0.000 0.498 0.087 (multiplicity 4)

Results
- Uncorrected energy: -5.379 eV/atom
- Formation energy without anion corrections: -150 kJ per mole of atoms
- Fermi-level density of states: 0.15 states/eV per cell

---

# PrErSiAg

PrErSiAg after structural relaxation (PBE, Alexandria).

Cell lengths 7.264, 7.264, 7.264 Å; angles 90.00, 90.00, 90.00 degrees
Space group F-43m (No. 216)
One atom of each set of equivalent atoms:
Pr1 0.000 0.000 0.000 (multiplicity 4)
Er1 0.000 0.000 0.500 (multiplicity 4)
Si1 0.250 0.250 0.250 (multiplicity 4)
Ag1 0.250 0.250 0.750 (multiplicity 4)

Results
- Uncorrected energy: -4.811 eV/atom
- Formation energy without anion corrections: -39 kJ per mole of atoms
- Fermi-level density of states: 13.52 states/eV per cell

---

# PrSmErAg

PrSmErAg after structural relaxation (PBE, Alexandria).

Cell lengths 3.656, 3.656, 8.823 Å; angles 90.00, 90.00, 90.00 degrees
Space group P4mm (No. 99)
One atom of each set of equivalent atoms:
Pr1 0.000 0.000 0.000 (multiplicity 1)
Sm1 0.500 0.500 0.704 (multiplicity 1)
Er1 0.500 0.500 0.290 (multiplicity 1)
Ag1 0.000 0.000 0.481 (multiplicity 1)

Results
- Uncorrected energy: -4.356 eV/atom
- Energy of formation from the pure elements: -0.128 eV/atom
- Fermi-level density of states: 5.52 states/eV per cell

---

# PrSmErAg

PrSmErAg after structural relaxation (PBE, Alexandria).

Cell lengths 7.738, 7.738, 7.738 Å; angles 90.00, 90.00, 90.00 degrees
Space group F-43m (No. 216)
One atom of each set of equivalent atoms:
Pr1 0.000 0.000 0.000 (multiplicity 4)
Sm1 0.000 0.000 0.500 (multiplicity 4)
Er1 0.250 0.250 0.750 (multiplicity 4)
Ag1 0.250 0.250 0.250 (multiplicity 4)

Results
- Uncorrected energy: -4.172 eV/atom
- Energy of formation from the pure elements: 0.056 eV/atom
- Fermi-level density of states: 14.68 states/eV per cell

---

# PrErAgSn

PrErAgSn after structural relaxation (PBE, Alexandria).

Cell lengths 7.523, 7.523, 7.523 Å; angles 90.00, 90.00, 90.00 degrees
Space group F-43m (No. 216)
One atom of each set of equivalent atoms:
Pr1 0.000 0.000 0.000 (multiplicity 4)
Er1 0.000 0.000 0.500 (multiplicity 4)
Ag1 0.250 0.250 0.750 (multiplicity 4)
Sn1 0.250 0.250 0.250 (multiplicity 4)

Results
- Uncorrected energy: -4.543 eV/atom
- Energy of formation from the pure elements: -0.494 eV/atom
- Fermi-level density of states: 16.87 states/eV per cell

---

# PrEr2Ag2Sn2

PrEr2Ag2Sn2 after structural relaxation (PBE, Alexandria).

Cell lengths 4.8812, 4.8812, 26.1024 Å; angles 90.00, 90.00, 120.00 degrees
Space group R-3m (No. 166, hexagonal axes)
One atom of each set of equivalent atoms:
Pr1 0.0000 0.0000 0.0000 (multiplicity 3)
Er1 0.0000 0.0000 0.1346 (multiplicity 6)
Ag1 0.0000 0.0000 0.4404 (multiplicity 6)
Sn1 0.0000 0.0000 0.2620 (multiplicity 6)

Results
- Uncorrected energy: -4.395 eV/atom
- Energy of formation from the pure elements: -0.451 eV/atom
- Fermi-level density of states: 10.37 states/eV per cell

---

# TbPrErAg

TbPrErAg after structural relaxation (PBE, Alexandria).

Cell lengths 7.700, 7.700, 7.700 Å; angles 90.00, 90.00, 90.00 degrees
Space group F-43m (No. 216)
One atom of each set of equivalent atoms:
Tb1 0.000 0.000 0.000 (multiplicity 4)
Pr1 0.000 0.000 0.500 (multiplicity 4)
Er1 0.250 0.250 0.750 (multiplicity 4)
Ag1 0.250 0.250 0.250 (multiplicity 4)

Results
- Uncorrected energy: -4.147 eV/atom
- Energy of formation from the pure elements: 0.059 eV/atom
- Fermi-level density of states: 14.93 states/eV per cell

---

# TbPrErAg

TbPrErAg after structural relaxation (PBE, Alexandria).

Cell lengths 3.650, 3.650, 8.645 Å; angles 90.00, 90.00, 90.00 degrees
Space group P4mm (No. 99)
One atom of each set of equivalent atoms:
Tb1 0.000 0.000 0.000 (multiplicity 1)
Pr1 0.500 0.500 0.295 (multiplicity 1)
Er1 0.000 0.000 0.587 (multiplicity 1)
Ag1 0.500 0.500 0.787 (multiplicity 1)

Results
- Uncorrected energy: -4.339 eV/atom
- Energy of formation from the pure elements: -0.133 eV/atom
- Fermi-level density of states: 5.59 states/eV per cell

---

# PrErTmAg

PrErTmAg after structural relaxation (PBE, Alexandria).

Cell lengths 7.659, 7.659, 7.659 Å; angles 90.00, 90.00, 90.00 degrees
Space group F-43m (No. 216)
One atom of each set of equivalent atoms:
Pr1 0.000 0.000 0.000 (multiplicity 4)
Er1 0.000 0.000 0.500 (multiplicity 4)
Tm1 0.250 0.250 0.750 (multiplicity 4)
Ag1 0.250 0.250 0.250 (multiplicity 4)

Results
- Uncorrected energy: -4.107 eV/atom
- Energy of formation from the pure elements: 0.059 eV/atom
- Fermi-level density of states: 14.85 states/eV per cell

---

# PrErTm2Ag4

PrErTm2Ag4 after structural relaxation (PBE, Alexandria).

Cell lengths 5.1376, 5.1376, 25.4629 Å; angles 90.00, 90.00, 120.00 degrees
Space group R-3m (No. 166, hexagonal axes)
One atom of each set of equivalent atoms:
Pr1 0.0000 0.0000 0.0000 (multiplicity 3)
Er1 0.0000 0.0000 0.5000 (multiplicity 3)
Tm1 0.0000 0.0000 0.2483 (multiplicity 6)
Ag1 0.0000 0.0000 0.1274 (multiplicity 6)
Ag2 0.0000 0.0000 0.3804 (multiplicity 6)

Results
- Uncorrected energy: -4.016 eV/atom
- Energy of formation from the pure elements: -0.304 eV/atom
- Fermi-level density of states: 15.19 states/eV per cell

---

# PrEr2TmAg4

PrEr2TmAg4 after structural relaxation (PBE, Alexandria).

Cell lengths 5.1413, 5.1413, 25.4979 Å; angles 90.00, 90.00, 120.00 degrees
Space group R-3m (No. 166, hexagonal axes)
One atom of each set of equivalent atoms:
Pr1 0.0000 0.0000 0.0000 (multiplicity 3)
Er1 0.0000 0.0000 0.2481 (multiplicity 6)
Tm1 0.0000 0.0000 0.5000 (multiplicity 3)
Ag1 0.0000 0.0000 0.1276 (multiplicity 6)
Ag2 0.0000 0.0000 0.3807 (multiplicity 6)

Results
- Uncorrected energy: -4.026 eV/atom
- Energy of formation from the pure elements: -0.304 eV/atom
- Fermi-level density of states: 15.19 states/eV per cell

---

# PrErTmAg

PrErTmAg after structural relaxation (PBE, Alexandria).

Cell lengths 3.596, 3.596, 8.780 Å; angles 90.00, 90.00, 90.00 degrees
Space group P4mm (No. 99)
One atom of each set of equivalent atoms:
Pr1 0.000 0.000 0.000 (multiplicity 1)
Er1 0.500 0.500 0.704 (multiplicity 1)
Tm1 0.500 0.500 0.295 (multiplicity 1)
Ag1 0.000 0.000 0.497 (multiplicity 1)

Results
- Uncorrected energy: -4.305 eV/atom
- Energy of formation from the pure elements: -0.138 eV/atom
- Fermi-level density of states: 5.10 states/eV per cell

---

# PrErZnAg

PrErZnAg after structural relaxation (PBE, Alexandria).

Cell lengths 3.639, 3.639, 7.389 Å; angles 90.00, 90.00, 90.00 degrees
Space group P4mm (No. 99)
One atom of each set of equivalent atoms:
Pr1 0.000 0.000 0.000 (multiplicity 1)
Er1 0.000 0.000 0.516 (multiplicity 1)
Zn1 0.500 0.500 0.739 (multiplicity 1)
Ag1 0.500 0.500 0.288 (multiplicity 1)

Results
- Uncorrected energy: -3.677 eV/atom
- Energy of formation from the pure elements: -0.310 eV/atom
- Fermi-level density of states: 3.81 states/eV per cell

---

# PrErZnAg

PrErZnAg after structural relaxation (PBE, Alexandria).

Cell lengths 7.336, 7.336, 7.336 Å; angles 90.00, 90.00, 90.00 degrees
Space group F-43m (No. 216)
One atom of each set of equivalent atoms:
Pr1 0.000 0.000 0.000 (multiplicity 4)
Er1 0.000 0.000 0.500 (multiplicity 4)
Zn1 0.250 0.250 0.750 (multiplicity 4)
Ag1 0.250 0.250 0.250 (multiplicity 4)

Results
- Uncorrected energy: -3.653 eV/atom
- Energy of formation from the pure elements: -0.286 eV/atom
- Fermi-level density of states: 10.88 states/eV per cell